(1)
A geometry-optimized ZrMoPd2 structure, computed with PBE-GGA.

CIF file:
```
data_ZrMoPd2
_chemical_formula_sum 'Zr4 Mo4 Pd8'
_cell_length_a 6.4517
_cell_length_b 6.4517
_cell_length_c 6.4517
_cell_angle_alpha 90.00
_cell_angle_beta 90.00
_cell_angle_gamma 90.00
_space_group_name_H-M_alt 'F -4 3 m'
_space_group_IT_number 216
_space_group_name_Hall 'F -4 2 3'
loop_
_atom_site_label
_atom_site_fract_x
_atom_site_fract_y
_atom_site_fract_z
Zr1 0.0000 0.0000 0.0000
Mo1 0.2500 0.2500 0.2500
Pd1 0.0000 0.0000 0.5000
Pd2 0.2500 0.2500 0.7500
```

Uncorrected energy in eV/atom: -7.523
E_form in eV per atom: -0.087

(2)
A geometry-optimized Ni15As structure, computed with PBE-GGA.

CIF file:
```
data_Ni15As
_chemical_formula_sum 'Ni30 As2'
_cell_length_a 4.9486
_cell_length_b 2.5407
_cell_length_c 40.2041
_cell_angle_alpha 90.00
_cell_angle_beta 90.00
_cell_angle_gamma 90.00
_space_group_name_H-M_alt 'P 1 m 1'
_space_group_IT_number 6
loop_
_space_group_symop_operation_xyz
'x,y,z'
'x,-y,z'
loop_
_atom_site_label
_atom_site_fract_x
_atom_site_fract_y
_atom_site_fract_z
Ni1 0.0000 0.0000 0.0000
Ni2 0.0000 0.0000 0.0848
Ni3 0.0000 0.0000 0.1696
Ni4 0.0000 0.0000 0.2547
Ni5 0.0001 0.0000 0.3398
Ni6 0.0001 0.0000 0.4248
Ni7 0.0003 0.0000 0.5100
Ni8 0.0000 0.0000 0.9143
Ni9 0.2499 0.5000 0.0424
Ni10 0.2501 0.5000 0.1274
Ni11 0.2500 0.5000 0.2124
Ni12 0.2500 0.5000 0.2973
Ni13 0.2500 0.5000 0.3824
Ni14 0.2500 0.5000 0.4670
Ni15 0.2505 0.5000 0.9569
Ni16 0.5000 0.0000 0.9998
Ni17 0.5000 0.0000 0.0846
Ni18 0.5000 0.0000 0.1696
Ni19 0.5000 0.0000 0.2547
Ni20 0.5000 0.0000 0.3398
Ni21 0.5000 0.0000 0.4248
Ni22 0.4997 0.0000 0.5100
Ni23 0.7495 0.5000 0.9569
Ni24 0.7500 0.5000 0.0424
Ni25 0.7499 0.5000 0.1274
Ni26 0.7500 0.5000 0.2124
Ni27 0.7500 0.5000 0.2973
Ni28 0.7500 0.5000 0.3823
Ni29 0.7500 0.5000 0.4671
Ni30 0.7500 0.5000 0.5527
As1 0.2500 0.5000 0.5538
As2 0.5000 0.0000 0.9133
```

Uncorrected energy in eV/atom: -5.469
Polymorph energy (0 for the lowest one) in eV per atom: 0.017

(3)
A geometry-optimized Zr5W structure, computed with PBE-GGA.

CIF file:
```
data_Zr5W
_chemical_formula_sum 'Zr5 W1'
_cell_length_a 5.4007
_cell_length_b 5.4007
_cell_length_c 5.1528
_cell_angle_alpha 90.00
_cell_angle_beta 90.00
_cell_angle_gamma 120.00
_space_group_name_H-M_alt 'P -6 2 m'
_space_group_IT_number 189
_space_group_name_Hall 'P -6 -2'
loop_
_atom_site_label
_atom_site_fract_x
_atom_site_fract_y
_atom_site_fract_z
Zr1 0.0000 0.3166 0.0000
Zr2 0.3333 0.6667 0.5000
W1 0.0000 0.0000 0.5000
```

Uncorrected energy in eV/atom: -9.085
E_form in eV per atom: 0.198

(4)
A geometry-optimized CsSmW structure, computed with PBE-GGA.

CIF file:
```
data_CsSmW
_chemical_formula_sum 'Cs4 Sm4 W4'
_cell_length_a 7.2248
_cell_length_b 7.2248
_cell_length_c 7.2248
_cell_angle_alpha 90.00
_cell_angle_beta 90.00
_cell_angle_gamma 90.00
_space_group_name_H-M_alt 'F -4 3 m'
_space_group_IT_number 216
_space_group_name_Hall 'F -4 2 3'
loop_
_atom_site_label
_atom_site_fract_x
_atom_site_fract_y
_atom_site_fract_z
Cs1 0.0000 0.0000 0.0000
Sm1 0.2500 0.2500 0.2500
W1 0.2500 0.2500 0.7500
```

Uncorrected energy in eV/atom: -3.764
Polymorph energy (0 for the lowest one) in eV per atom: 0.187